Entry 1:
The following is a DFT calculation (PBE) of a relaxed structure of ZrSiAu2.

Lattice parameters (Å, degrees): 3.9763 3.9831 4.5846 90.00 90.00 90.00
Fractional positions:
Au (0.5000, 0.5000, 0.0000)
Si (0.5000, 0.0000, 0.5000)
Au (0.0000, 0.0000, 0.0000)
Zr (0.0000, 0.5000, 0.5000)

Calculated values
Formation energy without anion corrections ... -0.37 eV/atom

Entry 2:
The following is a DFT calculation (PBE) of a relaxed structure of ReSiPt2.

Lattice parameters (Å, degrees): 8.6299 8.6299 8.6299 18.86 18.86 18.86
Fractional positions:
Re (0.2500, 0.2500, 0.2500)
Pt (0.4933, 0.4933, 0.4933)
Si (0.7500, 0.7500, 0.7500)
Pt (0.0067, 0.0067, 0.0067)

Calculated values
Formation energy without anion corrections ... -0.16 eV/atom